A relaxed Ag2BiHPd crystal. Source: Alexandria via LeMat-Bulk, functional PBE.

ρ: 10.39 g/cm³
crystal system: tetragonal
SG: P4/mmm (123)

The structure in POSCAR format:
```
Ag2BiHPd
1.0
-0.748 2.609 -4.113
1.043 -3.979 -2.713
-3.381 -0.912 0.037
Ag Bi Pd H
2 1 1 1
direct
0.000 0.500 0.000 Ag
0.500 0.000 0.000 Ag
0.500 0.500 0.500 Bi
0.000 0.000 0.500 Pd
0.000 0.000 0.000 H
```

A relaxed AgBi3H2Pd6 crystal. Source: Alexandria via LeMat-Bulk, functional PBE.

ρ: 9.53 g/cm³
crystal system: trigonal
SG: P-3m1 (164)

The structure in POSCAR format:
```
AgBi3H2Pd6
1.0
-0.745 5.366 1.193
-1.247 -3.878 3.766
8.377 0.445 3.232
Bi Pd Ag H
3 6 1 2
direct
0.667 0.333 0.361 Bi
0.000 0.000 0.000 Bi
0.333 0.667 0.639 Bi
0.832 0.665 0.752 Pd
0.168 0.335 0.248 Pd
0.335 0.168 0.752 Pd
0.665 0.832 0.248 Pd
0.832 0.168 0.752 Pd
0.168 0.832 0.248 Pd
0.000 0.000 0.500 Ag
0.667 0.333 0.847 H
0.333 0.667 0.153 H
```

A relaxed AgBi4H3Pd12 crystal. Source: Alexandria via LeMat-Bulk, functional PBE.

ρ: 11.26 g/cm³
crystal system: cubic
SG: Im-3m (229)

The structure in POSCAR format:
```
AgBi4H3Pd12
1.0
7.523 0.000 0.000
-2.508 7.093 0.000
-2.508 -3.547 6.143
Pd H Bi Ag
12 3 4 1
direct
0.250 0.500 0.750 Pd
0.750 0.500 0.250 Pd
0.000 0.296 0.296 Pd
0.500 0.250 0.750 Pd
0.000 0.704 0.704 Pd
0.250 0.750 0.500 Pd
0.704 0.000 0.704 Pd
0.500 0.750 0.250 Pd
0.296 0.000 0.296 Pd
0.750 0.250 0.500 Pd
0.296 0.296 0.000 Pd
0.704 0.704 0.000 Pd
0.500 0.000 0.500 H
0.000 0.500 0.500 H
0.500 0.500 0.000 H
0.000 0.500 0.000 Bi
0.500 0.500 0.500 Bi
0.500 0.000 0.000 Bi
0.000 0.000 0.500 Bi
0.000 0.000 0.000 Ag
```

A relaxed AgBi2HPt crystal. Source: Alexandria via LeMat-Bulk, functional PBE.

ρ: 11.28 g/cm³
crystal system: tetragonal
SG: P4/mmm (123)

The structure in POSCAR format:
```
AgBi2HPt
1.0
5.624 0.000 0.000
0.000 5.624 0.000
0.000 0.000 3.360
Bi H Ag Pt
2 1 1 1
direct
0.500 0.000 0.000 Bi
0.000 0.500 0.000 Bi
0.000 0.000 0.500 H
0.500 0.500 0.500 Ag
0.000 0.000 0.000 Pt
```

no.,energy (eV per atom),spin magnetization (μB per cell)
1,-3.560,0.000
2,-4.429,0.000
3,-4.614,0.000
4,-3.957,0.000